1.
This record from the Open Quantum Materials Database describes crystalline TbNpPb at its relaxed geometry. The functional is PBE-GGA.

It has space group F-43m (No. 216), with a = 7.429 Å, b = 7.429 Å, c = 7.429 Å, α = 90.00°, β = 90.00° and γ = 90.00°. The distinct sites, in fractional coordinates, are Tb at (0.000, 0.000, 0.000), Np at (0.000, 0.000, 0.500) and Pb at (0.250, 0.250, 0.750).

The final energy comes out at -6.692 eV per atom.



2.
This record from the Open Quantum Materials Database describes crystalline ThNpPb at its relaxed geometry. The functional is PBE-GGA.

It has space group F-43m (No. 216), with a = 7.399 Å, b = 7.399 Å, c = 7.399 Å, α = 90.00°, β = 90.00° and γ = 90.00°. The distinct sites, in fractional coordinates, are Th at (0.000, 0.000, 0.000), Np at (0.000, 0.000, 0.500) and Pb at (0.250, 0.250, 0.750).

The final energy comes out at -7.401 eV per atom. The offset from the most stable computed form comes out at 0.0 meV per atom.



3.
This record from the Open Quantum Materials Database describes crystalline NpTlPb at its relaxed geometry. The functional is PBE-GGA.

It has space group F-43m (No. 216), with a = 7.338 Å, b = 7.338 Å, c = 7.338 Å, α = 90.00°, β = 90.00° and γ = 90.00°. The distinct sites, in fractional coordinates, are Np at (0.000, 0.000, 0.000), Tl at (0.250, 0.250, 0.250) and Pb at (0.000, 0.000, 0.500).

The final energy comes out at -5.737 eV per atom. The offset from the most stable computed form comes out at 0.0 meV per atom.